*a*
Material: K2NiAu
Method: DFT, PBE-GGA
State: relaxed

abc: 3.9080 3.9262 8.1015
angles: 90.00 90.00 90.00
Last column: nearest neighbours and their distance in Å.
Space group Pmmm (No. 47)
Inequivalent atoms, fractional coordinates:
K 0.0000 0.0000 0.2459 x2  4 Au 3.41, 4 Ni 3.45
Ni 0.5000 0.5000 0.5000 x1  8 K 3.45
Au 0.5000 0.5000 0.0000 x1  8 K 3.41

Properties
DOS at the Fermi energy = 5.67 states/eV/cell

---

*b*
Material: K2NiAu
Method: DFT, PBE-GGA
State: relaxed

abc: 4.3351 4.3045 5.8200
angles: 90.00 90.12 90.00
Last column: nearest neighbours and their distance in Å.
Space group P2/m (No. 10)
Inequivalent atoms, fractional coordinates:
K 0.0023 0.0000 0.2485 x2  2 K 2.89-2.93
Ni 0.5000 0.5000 0.0000 x1  2 Au 2.91
Au 0.5000 0.5000 0.5000 x1  2 Ni 2.91

Properties
DOS at the Fermi energy = 5.55 states/eV/cell

---

*c*
Material: K2NiAu
Method: DFT, PBE-GGA
State: relaxed

abc: 4.7085 4.7085 24.7918
angles: 90.00 90.00 120.00
Last column: nearest neighbours and their distance in Å.
Space group R-3m (No. 166, hexagonal axes)
Inequivalent atoms, fractional coordinates:
K 0.0000 0.0000 0.2476 x6  3 Au 3.38, 3 Ni 3.45
Ni 0.0000 0.0000 0.0000 x3  6 K 3.45
Au 0.0000 0.0000 0.5000 x3  6 K 3.38

Properties
DOS at the Fermi energy = 27.46 states/eV/cell

---

*d*
Material: K2NiAu
Method: DFT, PBE-GGA
State: relaxed

abc: 7.5158 4.3410 9.2888
angles: 90.00 104.83 90.00
Last column: nearest neighbours and their distance in Å.
Space group Cm (No. 8)
Inequivalent atoms, fractional coordinates:
K 0.0000 0.0000 0.0000 x2  3 Ni 3.38, 3 Au 3.38
K 0.1610 0.0000 0.5061 x2  3 Ni 3.38-3.39, 3 Au 3.38-3.39
Ni 0.4133 0.0000 0.2528 x2  3 Au 2.51
Au 0.2469 0.5000 0.2531 x2  3 Ni 2.51

Properties
DOS at the Fermi energy = 4.64 states/eV/cell

---

Relative energies, unit meV/atom: *a* 327; *b* 299; *c* 418; *d* 0